A crystal of AgPt3Br relaxed with PBEsol. Source: Alexandria, functional SCAN.

The total energy comes out at -51.095 eV/atom. The value obtained for the total magnetic moment is 0.000 μB per atom. Its formation energy from raw total energies is 1187 meV per atom. The space group is Pm-3m, No. 221.

```
5
Lattice="4.644 0.000 0.000 0.000 4.644 0.000 0.000 0.000 4.644" Properties=species:S:1:pos:R:3 pbc="T T T"
Ag 0.000 0.000 0.000
Pt 0.000 2.322 2.322
Pt 2.322 0.000 2.322
Pt 2.322 2.322 0.000
Br 2.322 2.322 2.322
```